A plane-wave DFT calculation with PBE was carried out for Pr2B4Ir3Pt2 after structural relaxation.

POSCAR file:
```
Pr2B4Ir3Pt2
1.0
0.000 5.249 5.616
2.756 0.000 5.616
2.756 5.249 0.000
Pr B Ir Pt
2 4 3 2
direct
0.149 0.149 0.851
0.851 0.851 0.149
0.211 0.516 0.484
0.484 0.789 0.211
0.516 0.211 0.789
0.789 0.484 0.516
0.250 0.250 0.250
0.500 0.500 0.500
0.750 0.750 0.750
0.000 0.000 0.500
0.500 0.500 0.000
```

Results
The space group is Fmmm. The total energy comes out at -81.76 eV per cell.

---

A plane-wave DFT calculation with PBE was carried out for B4IrPt after structural relaxation.

POSCAR file:
```
B4IrPt
1.0
3.087 0.000 0.000
-1.544 2.673 0.000
0.000 0.000 6.831
B Ir Pt
4 1 1
direct
0.333 0.667 0.237
0.333 0.667 0.763
0.667 0.333 0.237
0.667 0.333 0.763
0.000 0.000 0.000
0.000 0.000 0.500
```

Results
The space group is P6/mmm. The total energy comes out at -38.41 eV per cell.

---

A plane-wave DFT calculation with PBE was carried out for B2IrPt2 after structural relaxation.

POSCAR file:
```
B2IrPt2
1.0
-1.881 1.881 4.290
1.881 -1.881 4.290
1.881 1.881 -4.290
B Ir Pt
2 1 2
direct
0.100 0.100 0.000
0.900 0.900 0.000
0.500 0.500 0.000
0.250 0.750 0.500
0.750 0.250 0.500
```

Results
The space group is I4/mmm. The total energy comes out at -33.04 eV per cell.

---

A plane-wave DFT calculation with PBE was carried out for B4IrPt after structural relaxation.

POSCAR file:
```
B4IrPt
1.0
-1.539 2.681 3.392
1.539 -2.681 3.392
1.539 2.681 -3.392
B Ir Pt
4 1 1
direct
0.085 0.250 0.835
0.416 0.250 0.165
0.584 0.750 0.835
0.915 0.750 0.165
0.500 0.000 0.500
0.000 0.500 0.500
```

Results
The space group is Immm. The total energy comes out at -38.44 eV per cell.

---

A plane-wave DFT calculation with PBE was carried out for B2IrPt2 after structural relaxation.

POSCAR file:
```
B2IrPt2
1.0
-1.502 1.502 6.806
1.502 -1.502 6.806
1.502 1.502 -6.806
B Ir Pt
2 1 2
direct
0.250 0.750 0.500
0.750 0.250 0.500
0.000 0.000 0.000
0.361 0.361 0.000
0.639 0.639 0.000
```

Results
The space group is I4/mmm. The total energy comes out at -34.03 eV per cell.

---

A plane-wave DFT calculation with PBE was carried out for Y2B4IrPt4 after structural relaxation.

POSCAR file:
```
Y2B4IrPt4
1.0
0.000 4.789 6.189
2.680 0.000 6.189
2.680 4.789 0.000
Y B Ir Pt
2 4 1 4
direct
0.140 0.140 0.860
0.860 0.860 0.140
0.219 0.516 0.484
0.484 0.781 0.219
0.516 0.219 0.781
0.781 0.484 0.516
0.500 0.500 0.500
0.000 0.000 0.500
0.250 0.250 0.250
0.500 0.500 0.000
0.750 0.750 0.750
```

Results
The space group is Fmmm. The total energy comes out at -78.98 eV per cell.

---

- Which formula does entry 3 have?
  B2IrPt2